# 1
Below is an optimized crystal structure of ZrTaF3, with properties calculated at the PBE level.

Summary:
The value obtained for the excess energy over the best structure of this formula in the dataset is 137 meV/atom. The value obtained for the uncorrected formation energy is -963 meV per atom.

```
5
Lattice="4.341 0.000 0.000 0.000 4.341 0.000 0.000 0.000 4.341" Properties=species:S:1:pos:R:3 pbc="T T T"
Zr 0.000 0.000 0.000
Ta 2.170 2.170 2.170
F 0.000 2.170 2.170
F 2.170 0.000 2.170
F 2.170 2.170 0.000
```



# 2
Below is an optimized crystal structure of BeCo3H, with properties calculated at the PBE level.

Summary:
The value obtained for the excess energy over the best structure of this formula in the dataset is 0 meV/atom.

```
5
Lattice="3.506 0.000 0.000 0.000 3.506 0.000 0.000 0.000 3.506" Properties=species:S:1:pos:R:3 pbc="T T T"
Be 0.000 0.000 0.000
Co 0.000 1.753 1.753
Co 1.753 0.000 1.753
Co 1.753 1.753 0.000
H 1.753 1.753 1.753
```



# 3
Below is an optimized crystal structure of CuW3Au, with properties calculated at the PBE level.

Summary:
The value obtained for the excess energy over the best structure of this formula in the dataset is 0 meV/atom. The calculation puts the energy of formation at 1.75 eV per atom.

```
5
Lattice="4.492 0.000 0.000 0.000 4.492 0.000 0.000 0.000 4.492" Properties=species:S:1:pos:R:3 pbc="T T T"
Cu 0.000 0.000 0.000
W 0.000 0.000 2.246
W 0.000 2.246 0.000
W 2.246 0.000 0.000
Au 2.246 2.246 2.246
```



# 4
Below is an optimized crystal structure of Pm3Sm2Ho6Sc, with properties calculated at the PBE level.

Summary:
The calculation puts the energy of formation at 0.03 eV per atom.

```
12
Lattice="3.077 -5.328 0.000 3.077 5.328 0.000 -2.047 0.000 11.576" Properties=species:S:1:pos:R:3 pbc="T T T"
Pm 0.000 0.000 0.000
Pm 3.077 1.775 0.000
Pm 3.077 -1.775 0.000
Sm 2.054 3.557 5.788
Sm 2.054 -3.557 5.788
Ho 1.038 1.761 2.934
Ho 0.018 0.000 8.647
Ho 1.038 -1.761 2.934
Ho 3.070 1.761 8.642
Ho 4.090 0.000 2.929
Ho 3.070 -1.761 8.642
Sc 2.054 0.000 5.788
```



# 5
Below is an optimized crystal structure of NaAl2Ag4, with properties calculated at the PBE level.

Summary:
The calculation puts the energy of formation at -0.03 eV per atom.

```
14
Lattice="7.953 0.000 0.000 0.000 7.953 0.000 0.000 0.000 4.343" Properties=species:S:1:pos:R:3 pbc="T T T"
Na 0.000 0.000 0.000
Na 3.976 3.976 2.172
Al 1.770 1.770 2.172
Al 2.206 5.746 0.000
Al 5.746 2.206 0.000
Al 6.183 6.183 2.172
Ag 0.754 5.206 2.172
Ag 1.230 3.223 0.000
Ag 2.747 7.199 2.172
Ag 3.223 1.230 0.000
Ag 4.730 6.723 0.000
Ag 5.206 0.754 2.172
Ag 6.723 4.730 0.000
Ag 7.199 2.747 2.172
```



# 6
Below is an optimized crystal structure of TlIr2W, with properties calculated at the PBE level.

Summary:
The value obtained for the excess energy over the best structure of this formula in the dataset is 379 meV/atom. The calculation puts the energy of formation at 0.45 eV per atom.

```
4
Lattice="2.874 0.000 0.000 0.000 4.087 0.000 0.000 0.000 5.829" Properties=species:S:1:pos:R:3 pbc="T T T"
Tl 0.000 0.000 0.000
Ir 0.000 0.000 2.870
Ir 1.437 2.043 4.425
W 1.437 2.043 1.868
```



# 7
Below is an optimized crystal structure of Ce2CuOs, with properties calculated at the PBE level.

Summary:
The value obtained for the excess energy over the best structure of this formula in the dataset is 72 meV/atom. The calculation puts the energy of formation at -0.10 eV per atom.

```
4
Lattice="5.011 0.000 0.000 0.000 5.011 0.000 0.000 0.000 3.352" Properties=species:S:1:pos:R:3 pbc="T T T"
Ce 0.000 2.505 0.000
Ce 2.505 0.000 0.000
Cu 0.000 0.000 1.676
Os 2.505 2.505 1.676
```



# 8
Below is an optimized crystal structure of Ce5PSe4, with properties calculated at the PBE level.

Summary:
The value obtained for the excess energy over the best structure of this formula in the dataset is 10 meV/atom. The value obtained for the uncorrected formation energy is -1762 meV per atom.

```
10
Lattice="-2.090 2.090 14.786 2.090 -2.090 14.786 2.090 2.090 -14.786" Properties=species:S:1:pos:R:3 pbc="T T T"
Ce 0.000 0.000 0.000
Ce 0.000 0.000 5.929
Ce 0.000 0.000 11.925
Ce 0.000 0.000 17.647
Ce 0.000 0.000 23.643
P 0.000 0.000 14.786
Se 0.000 0.000 2.958
Se 0.000 0.000 8.908
Se 0.000 0.000 20.664
Se 0.000 0.000 26.614
```



For reference, size of the total moment by record: 5.5; 3.8; 0.0; 0.0; 0.0; 0.0; 0.0; 4.4 μB/f.u..
For reference, raw total energy by record: -6.1659; -5.6883; -7.4963; -4.7649; -2.9188; -7.8110; -6.8983; -6.6641 eV/atom.